Li2FeF4 (PBE with a Hubbard U, optimized geometry); SG = Pbam; DFT total energy = -71.426 eV per cell; theoretical density = 2.009 g/cm³; N(E_F) = 0.00 states/eV/f.u.
1.0
3.268 0.000 0.000
0.000 8.574 0.000
0.000 0.000 8.597
Li Fe F
4 2 8
direct
0.000 0.259 0.013
0.000 0.234 0.513
0.000 0.759 0.987
0.000 0.734 0.487
0.500 0.996 0.750
0.500 0.496 0.250
0.000 0.110 0.863
0.500 0.165 0.581
0.500 0.327 0.082
0.000 0.384 0.363
0.000 0.610 0.137
0.500 0.665 0.419
0.500 0.827 0.918
0.000 0.884 0.637